Entry from Alexandria via LeMat-Bulk: crystalline Ca2IrW at its relaxed geometry (PBE-GGA).

POSCAR file:
```
Ca2IrW
1.0
4.018 0.000 0.000
0.000 4.018 0.000
0.000 0.000 4.906
Ca Ir W
2 1 1
Cartesian
0.000 2.009 0.000
2.009 0.000 0.000
0.000 0.000 2.453
2.009 2.009 2.453
```

The distance to the lowest polymorph of the same formula is 536.9 meV per atom. The calculation puts the formation energy at 586 meV/atom. Its density of states at the Fermi level is 3.6 states/eV per cell.

=====

Entry from Alexandria via LeMat-Bulk: crystalline CaIr2W at its relaxed geometry (PBE-GGA).

POSCAR file:
```
CaIr2W
1.0
2.918 0.000 0.000
-1.459 2.527 0.000
0.000 0.000 27.669
Ca Ir W
3 6 3
Cartesian
0.000 0.000 0.000
0.000 1.685 18.446
1.459 0.842 9.223
0.000 0.000 6.730
0.000 0.000 20.939
0.000 1.685 11.716
0.000 1.685 25.176
1.459 0.842 2.493
1.459 0.842 15.953
0.000 0.000 13.834
0.000 1.685 4.611
1.459 0.842 23.057
```

The distance to the lowest polymorph of the same formula is 349.9 meV per atom. The calculation puts the formation energy at 179 meV/atom. Its density of states at the Fermi level is 11.1 states/eV per cell.

=====

Entry from Alexandria via LeMat-Bulk: crystalline Ca2IrW at its relaxed geometry (PBE-GGA).

POSCAR file:
```
Ca2IrW
1.0
4.154 0.000 0.000
0.000 4.168 0.000
0.000 0.000 9.366
Ca Ir W
4 2 2
Cartesian
0.000 0.000 2.103
0.000 0.000 7.263
2.077 2.084 2.103
2.077 2.084 7.263
0.000 2.084 0.000
2.077 0.000 0.000
0.000 2.084 4.683
2.077 0.000 4.683
```

The distance to the lowest polymorph of the same formula is 446.7 meV per atom. The calculation puts the formation energy at 496 meV/atom. Its density of states at the Fermi level is 6.9 states/eV per cell.

=====

Entry from Alexandria via LeMat-Bulk: crystalline CaIr2W at its relaxed geometry (PBE-GGA).

POSCAR file:
```
CaIr2W
1.0
2.965 0.000 0.000
0.000 2.965 0.000
0.000 0.000 7.924
Ca Ir W
1 2 1
Cartesian
0.000 0.000 0.000
1.482 1.482 2.264
1.482 1.482 5.660
0.000 0.000 3.962
```

The distance to the lowest polymorph of the same formula is 0.0 meV per atom. The calculation puts the formation energy at -171 meV/atom. Its density of states at the Fermi level is 3.7 states/eV per cell.

=====

Entry from Alexandria via LeMat-Bulk: crystalline CaIr2W at its relaxed geometry (PBE-GGA).

POSCAR file:
```
CaIr2W
1.0
7.316 0.000 0.000
0.000 2.876 0.000
-0.635 0.000 7.262
Ca Ir W
2 4 2
Cartesian
0.000 0.000 0.000
3.658 1.438 0.000
1.631 1.438 2.141
1.392 0.000 5.122
5.289 0.000 2.141
5.050 1.438 5.122
-0.318 1.438 3.631
3.341 0.000 3.631
```

The distance to the lowest polymorph of the same formula is 326.1 meV per atom. The calculation puts the formation energy at 155 meV/atom. Its density of states at the Fermi level is 5.5 states/eV per cell.

=====

Entry from Alexandria via LeMat-Bulk: crystalline CaIrW3 at its relaxed geometry (PBE-GGA).

POSCAR file:
```
CaIrW3
1.0
4.494 0.000 0.000
0.000 4.494 0.000
0.000 0.000 4.494
Ca Ir W
1 1 3
Cartesian
0.000 0.000 0.000
2.247 2.247 2.247
0.000 0.000 2.247
0.000 2.247 0.000
2.247 0.000 0.000
```

The distance to the lowest polymorph of the same formula is 1639.4 meV per atom. The calculation puts the formation energy at 3211 meV/atom. Its density of states at the Fermi level is 7.9 states/eV per cell.

=====

Entry from Alexandria via LeMat-Bulk: crystalline Ca2IrW at its relaxed geometry (PBE-GGA).

POSCAR file:
```
Ca2IrW
1.0
5.466 0.000 0.000
0.000 9.730 0.000
0.000 0.000 2.993
Ca Ir W
4 2 2
Cartesian
1.367 2.432 0.000
1.367 7.297 0.000
4.100 2.432 0.000
4.100 7.297 0.000
0.000 0.000 1.497
2.733 4.865 1.497
0.000 4.865 1.497
2.733 0.000 1.497
```

The distance to the lowest polymorph of the same formula is 534.7 meV per atom. The calculation puts the formation energy at 584 meV/atom. Its density of states at the Fermi level is 7.1 states/eV per cell.

=====

Entry from Alexandria via LeMat-Bulk: crystalline CaIr2W at its relaxed geometry (PBE-GGA).

POSCAR file:
```
CaIr2W
1.0
4.325 0.000 0.000
0.000 4.325 0.000
0.000 0.000 7.215
Ca Ir W
2 4 2
Cartesian
0.000 0.000 0.000
2.163 2.163 3.608
0.000 2.163 1.804
0.000 2.163 5.411
2.163 0.000 1.804
2.163 0.000 5.411
0.000 0.000 3.608
2.163 2.163 0.000
```

The distance to the lowest polymorph of the same formula is 347.6 meV per atom. The calculation puts the formation energy at 177 meV/atom. Its density of states at the Fermi level is 7.8 states/eV per cell.

=====

Entry from Alexandria via LeMat-Bulk: crystalline Ca2IrW at its relaxed geometry (PBE-GGA).

POSCAR file:
```
Ca2IrW
1.0
10.401 0.000 0.000
0.000 10.401 0.000
0.000 0.000 4.855
Ca Ir W
8 4 4
Cartesian
0.971 7.800 0.607
2.600 0.971 4.248
2.600 4.229 1.821
4.229 7.800 3.034
6.171 2.600 3.034
7.800 6.171 1.821
7.800 9.429 4.248
9.429 2.600 0.607
0.000 0.000 0.000
0.000 5.200 1.214
5.200 0.000 3.641
5.200 5.200 2.427
0.000 0.000 2.427
0.000 5.200 3.641
5.200 0.000 1.214
5.200 5.200 0.000
```

The distance to the lowest polymorph of the same formula is 661.8 meV per atom. The calculation puts the formation energy at 711 meV/atom. Its density of states at the Fermi level is 9.5 states/eV per cell.

=====

Entry from Alexandria via LeMat-Bulk: crystalline CaIr2W2 at its relaxed geometry (PBE-GGA).

POSCAR file:
```
CaIr2W2
1.0
7.949 0.000 0.000
0.000 7.949 0.000
0.000 0.000 2.785
Ca Ir W
2 4 4
Cartesian
0.000 0.000 0.000
3.974 3.974 0.000
1.358 2.616 1.393
2.616 6.591 1.393
5.332 1.358 1.393
6.591 5.332 1.393
0.942 4.916 0.000
3.032 0.942 0.000
4.916 7.007 0.000
7.007 3.032 0.000
```

The calculation puts the formation energy at -84 meV/atom. Its density of states at the Fermi level is 9.1 states/eV per cell.

=====

Entry from Alexandria via LeMat-Bulk: crystalline CaIr2W at its relaxed geometry (PBE-GGA).

POSCAR file:
```
CaIr2W
1.0
7.374 0.000 0.000
0.000 7.374 0.000
0.000 0.000 5.857
Ca Ir W
4 8 4
Cartesian
0.000 0.000 0.000
0.000 3.687 1.464
3.687 0.000 4.393
3.687 3.687 2.929
1.467 1.844 3.661
1.844 5.154 5.125
1.844 5.907 2.196
2.220 1.844 0.732
5.154 5.531 0.732
5.531 1.467 2.196
5.531 2.220 5.125
5.907 5.531 3.661
0.000 0.000 2.929
0.000 3.687 4.393
3.687 0.000 1.464
3.687 3.687 0.000
```

The distance to the lowest polymorph of the same formula is 507.9 meV per atom. The calculation puts the formation energy at 337 meV/atom. Its density of states at the Fermi level is 5.3 states/eV per cell.

=====

Entry from Alexandria via LeMat-Bulk: crystalline Ca2IrW at its relaxed geometry (PBE-GGA).

POSCAR file:
```
Ca2IrW
1.0
2.995 0.000 0.000
0.000 4.858 0.000
0.000 0.000 5.476
Ca Ir W
2 1 1
Cartesian
0.000 0.000 1.332
0.000 0.000 4.143
1.497 2.429 0.000
1.497 2.429 2.738
```

The distance to the lowest polymorph of the same formula is 518.4 meV per atom. The calculation puts the formation energy at 567 meV/atom. Its density of states at the Fermi level is 3.0 states/eV per cell.

=====

Number 1: final energy -5.8684 eV/atom. Number 2: final energy -7.9902 eV/atom. Number 3: final energy -5.9585 eV/atom. Number 4: final energy -8.3401 eV/atom. Number 5: final energy -8.0141 eV/atom. Number 6: final energy -6.7338 eV/atom. Number 7: final energy -5.8706 eV/atom. Number 8: final energy -7.9925 eV/atom. Number 9: final energy -5.7435 eV/atom. Number 10: final energy -9.2104 eV/atom. Number 11: final energy -7.8322 eV/atom. Number 12: final energy -5.8869 eV/atom.